(1)
## TaTl3 (GGA-PBE)

Data for a geometry-optimized TaTl3 structure.

Lattice parameters (Å, degrees): 11.363 11.363 11.363 16.26 16.26 16.26
Fractional coordinates of all 4 atoms:
Ta (0.000, 0.000, 0.000)
Tl (0.258, 0.258, 0.258)
Tl (0.500, 0.500, 0.500)
Tl (0.742, 0.742, 0.742)



(2)
## TaTl3 (GGA-PBE)

Data for a geometry-optimized TaTl3 structure.

Lattice parameters (Å, degrees): 3.211 3.211 11.369 90.00 90.00 120.00
Fractional coordinates of all 4 atoms:
Ta (0.000, 0.000, 0.000)
Tl (0.000, 0.000, 0.500)
Tl (0.667, 0.333, 0.222)
Tl (0.667, 0.333, 0.778)



(3)
## Ta3Tl (GGA-PBE)

Data for a geometry-optimized Ta3Tl structure.

Lattice parameters (Å, degrees): 2.927 4.976 5.337 90.00 90.00 90.00
Fractional coordinates of all 4 atoms:
Ta (0.000, 0.000, 0.000)
Ta (0.000, 0.500, 0.304)
Ta (0.500, 0.000, 0.474)
Tl (0.500, 0.500, 0.800)



Number 1: energy of formation 0.477 eV/atom, magnetic moment 0.00 μB per formula unit. Number 2: energy of formation 0.460 eV/atom, magnetic moment 0.00 μB per formula unit. Number 3: energy of formation 0.431 eV/atom, magnetic moment 0.00 μB per formula unit.